Entry 1:
Density functional theory data (PBE-GGA) for a relaxed structure of BiRhSe2.

The formation energy (no corrections) is -0.288 eV per atom. For the spin magnetization, the calculation gives 0.0 μB per formula unit.

It has space group P1 (No. 1), with a = 3.798 Å, b = 6.444 Å, c = 7.865 Å, α = 91.32°, β = 90.02° and γ = 106.87°. The distinct sites, in fractional coordinates, are Bi at (0.000, 0.000, 0.000), Bi at (0.369, 0.719, 0.595), Rh at (0.145, 0.299, 0.464), Rh at (0.656, 0.319, 0.970), Se at (0.291, 0.595, 0.944), Se at (0.601, 0.209, 0.660), Se at (0.702, 0.413, 0.279) and Se at (0.966, 0.918, 0.346).

***

Entry 2:
Density functional theory data (PBE-GGA) for a relaxed structure of ScSi2As.

The formation energy (no corrections) is -0.067 eV per atom. For the spin magnetization, the calculation gives 0.0 μB per formula unit.

It has space group I-42d (No. 122), with a = 7.445 Å, b = 7.445 Å, c = 5.353 Å, α = 90.00°, β = 90.00° and γ = 90.00°. The distinct sites, in fractional coordinates, are Sc at (0.000, 0.000, 0.000), Si at (0.229, 0.750, 0.625) and As at (0.000, 0.000, 0.500).

***

Entry 3:
Density functional theory data (PBE-GGA) for a relaxed structure of MgBr2F.

The distance to the lowest polymorph of the same formula is 0 meV/atom. The formation energy (no corrections) is -1.054 eV per atom. For the spin magnetization, the calculation gives 1.0 μB per formula unit.

It has space group R-3m (No. 166, hexagonal axes), with a = 3.9483 Å, b = 3.9483 Å, c = 23.1414 Å, α = 90.00°, β = 90.00° and γ = 120.00°. The distinct sites, in fractional coordinates, are Mg at (0.0000, 0.0000, 0.0000), Br at (0.0000, 0.0000, 0.3962) and F at (0.0000, 0.0000, 0.5000).

***

Entry 4:
Density functional theory data (PBE-GGA) for a relaxed structure of CeNdCu10.

The value obtained for the formation energy is -0.1334 eV/atom. For the spin magnetization, the calculation gives 1.1 μB per formula unit.

It has space group Pmmm (No. 47), with a = 4.121 Å, b = 5.128 Å, c = 8.815 Å, α = 90.00°, β = 90.00° and γ = 90.00°. The distinct sites, in fractional coordinates, are Ce at (0.000, 0.000, 0.000), Nd at (0.000, 0.500, 0.500), Cu at (0.000, 0.000, 0.332), Cu at (0.000, 0.500, 0.165), Cu at (0.500, 0.000, 0.500), Cu at (0.500, 0.250, 0.249) and Cu at (0.500, 0.500, 0.000).

***

Entry 5:
Density functional theory data (PBE-GGA) for a relaxed structure of B2C.

The distance to the lowest polymorph of the same formula is 325 meV/atom. The value obtained for the formation energy is 0.5099 eV/atom. For the spin magnetization, the calculation gives 0.0 μB per formula unit.

It has space group Cm (No. 8), with a = 15.294 Å, b = 2.529 Å, c = 4.737 Å, α = 90.00°, β = 106.77° and γ = 90.00°. The distinct sites, in fractional coordinates, are B at (0.000, 0.000, 0.000), B at (0.002, 0.500, 0.646), B at (0.109, 0.500, 0.613), B at (0.114, 0.000, 0.187), B at (0.185, 0.500, 0.084), B at (0.302, 0.500, 0.464), B at (0.418, 0.000, 0.952), B at (0.420, 0.500, 0.615), C at (0.158, 0.000, 0.548), C at (0.259, 0.000, 0.601), C at (0.283, 0.500, 0.075) and C at (0.313, 0.000, 0.949).

***

Entry 6:
Density functional theory data (PBE-GGA) for a relaxed structure of CsAlCl2.

The distance to the lowest polymorph of the same formula is 0 meV/atom. The formation energy (no corrections) is -1.041 eV per atom. For the spin magnetization, the calculation gives 0.0 μB per formula unit.

It has space group I-42d (No. 122), with a = 6.917 Å, b = 6.917 Å, c = 15.599 Å, α = 90.00°, β = 90.00° and γ = 90.00°. The distinct sites, in fractional coordinates, are Cs at (0.000, 0.000, 0.000), Al at (0.000, 0.000, 0.500) and Cl at (0.181, 0.250, 0.625).

***

Entry 7:
Density functional theory data (PBE-GGA) for a relaxed structure of ScSb2Pd2.

The formation energy (no corrections) is -0.450 eV per atom. For the spin magnetization, the calculation gives 0.5 μB per formula unit.

It has space group P4/mbm (No. 127), with a = 7.866 Å, b = 7.866 Å, c = 3.320 Å, α = 90.00°, β = 90.00° and γ = 90.00°. The distinct sites, in fractional coordinates, are Sc at (0.000, 0.000, 0.000), Sb at (0.158, 0.342, 0.000) and Pd at (0.140, 0.640, 0.500).

***

Entry 8:
Density functional theory data (PBE-GGA) for a relaxed structure of La2TaIr2.

The value obtained for the formation energy is -0.4235 eV/atom. For the spin magnetization, the calculation gives 0.0 μB per formula unit.

It has space group P4/mbm (No. 127), with a = 6.936 Å, b = 6.936 Å, c = 4.804 Å, α = 90.00°, β = 90.00° and γ = 90.00°. The distinct sites, in fractional coordinates, are La at (0.171, 0.329, 0.000), Ta at (0.000, 0.000, 0.500) and Ir at (0.145, 0.645, 0.500).

***

Entry 9:
Density functional theory data (PBE-GGA) for a relaxed structure of ErSnAu4.

The distance to the lowest polymorph of the same formula is 86 meV/atom. The value obtained for the formation energy is -0.3703 eV/atom. For the spin magnetization, the calculation gives 0.0 μB per formula unit.

It has space group F-43m (No. 216), with a = 7.954 Å, b = 7.954 Å, c = 7.954 Å, α = 90.00°, β = 90.00° and γ = 90.00°. The distinct sites, in fractional coordinates, are Er at (0.000, 0.000, 0.000), Sn at (0.250, 0.250, 0.750) and Au at (0.125, 0.125, 0.375).

***

Entry 10:
Density functional theory data (PBE-GGA) for a relaxed structure of K5Mo.

The distance to the lowest polymorph of the same formula is 0 meV/atom. The value obtained for the formation energy is 0.7724 eV/atom. For the spin magnetization, the calculation gives 5.2 μB per formula unit.

It has space group Cm (No. 8), with a = 15.209 Å, b = 4.869 Å, c = 10.046 Å, α = 90.00°, β = 109.72° and γ = 90.00°. The distinct sites, in fractional coordinates, are K at (0.000, 0.000, 0.000), K at (0.018, 0.000, 0.426), K at (0.159, 0.500, 0.789), K at (0.300, 0.000, 0.153), K at (0.319, 0.000, 0.580) and Mo at (0.160, 0.500, 0.290).

***

Entry 11:
Density functional theory data (PBE-GGA) for a relaxed structure of Zr3ScF.

The distance to the lowest polymorph of the same formula is 0 meV/atom. The formation energy (no corrections) is -0.626 eV per atom. For the spin magnetization, the calculation gives 0.0 μB per formula unit.

It has space group Pm-3m (No. 221), with a = 4.645 Å, b = 4.645 Å, c = 4.645 Å, α = 90.00°, β = 90.00° and γ = 90.00°. The distinct sites, in fractional coordinates, are Zr at (0.000, 0.000, 0.500), Sc at (0.500, 0.500, 0.500) and F at (0.000, 0.000, 0.000).

***

Entry 12:
Density functional theory data (PBE-GGA) for a relaxed structure of TbPuB4.

The distance to the lowest polymorph of the same formula is 0 meV/atom. The value obtained for the formation energy is -0.2402 eV/atom. For the spin magnetization, the calculation gives 4.7 μB per formula unit.

It has space group Pbam (No. 55), with a = 6.176 Å, b = 11.933 Å, c = 3.994 Å, α = 90.00°, β = 90.00° and γ = 90.00°. The distinct sites, in fractional coordinates, are Tb at (0.117, 0.156, 0.000), Pu at (0.126, 0.419, 0.000), B at (0.033, 0.696, 0.500), B at (0.128, 0.972, 0.500), B at (0.131, 0.555, 0.500) and B at (0.207, 0.813, 0.500).

***

Looking at energy for the records above, in order, we have -4.839; -5.524; -2.757; -4.439; -7.016; -3.113; -5.443; -8.309; -3.983; -1.947; -7.395; -7.852 eV per atom.